[1]
This record from Alexandria via LeMat-Bulk describes a relaxed Sr2UTe2N2 crystal. The functional is PBE-GGA. Values from VASP.

Computed properties:
Theoretical density (g cm⁻³): 6.7
Energy relative to the elements, uncorrected (eV/atom): -1.3289
Energy (eV per atom): -6.70

Cell and atoms, written as Quantum ESPRESSO input:
```
&SYSTEM
  ibrav = 0, nat = 7, ntyp = 4
/
ATOMIC_SPECIES
Sr 87.62 Sr.upf
U 238.03 U.upf
Te 127.60 Te.upf
N 14.01 N.upf
CELL_PARAMETERS angstrom
-3.411 -1.728 2.145
2.205 -3.760 0.476
3.962 5.692 6.404
ATOMIC_POSITIONS angstrom
Sr 2.601 2.282 5.973
Sr 0.156 -2.078 3.053
U 0.000 0.000 0.000
Te 1.153 1.012 2.649
Te 1.603 -0.808 6.377
N 1.102 -1.880 0.238
N -1.705 -0.864 1.073
```


[2]
This record from Alexandria via LeMat-Bulk describes a relaxed Tb2GdIn crystal. The functional is PBE-GGA. Values from VASP.

Computed properties:
Theoretical density (g cm⁻³): 8.5
Formation enthalpy at 0 K (eV per atom): -0.28
Energy (eV per atom): -6.80
Energy above the most stable polymorph in this dataset (meV/atom): 0

Cell and atoms, written as Quantum ESPRESSO input:
```
&SYSTEM
  ibrav = 0, nat = 4, ntyp = 3
/
ATOMIC_SPECIES
Gd 157.25 Gd.upf
Tb 158.93 Tb.upf
In 114.82 In.upf
CELL_PARAMETERS angstrom
4.837 0.000 0.000
0.000 4.878 0.000
0.000 0.000 4.878
ATOMIC_POSITIONS angstrom
Gd 2.419 2.439 2.439
Tb 0.000 0.000 2.439
Tb 0.000 2.439 0.000
In 2.419 0.000 0.000
```


[3]
This record from Alexandria via LeMat-Bulk describes a relaxed TbHo2Ag3 crystal. The functional is PBE-GGA. Values from VASP.

Computed properties:
Theoretical density (g cm⁻³): 9.4
Formation enthalpy at 0 K (eV per atom): -0.33
Energy (eV per atom): -4.05

Cell and atoms, written as Quantum ESPRESSO input:
```
&SYSTEM
  ibrav = 0, nat = 6, ntyp = 3
/
ATOMIC_SPECIES
Tb 158.93 Tb.upf
Ho 164.93 Ho.upf
Ag 107.87 Ag.upf
CELL_PARAMETERS angstrom
3.614 0.000 0.000
0.000 3.614 0.000
0.000 0.000 10.980
ATOMIC_POSITIONS angstrom
Tb 1.807 1.807 5.490
Ho 1.807 1.807 9.163
Ho 1.807 1.807 1.817
Ag 0.000 0.000 0.000
Ag 0.000 0.000 7.358
Ag 0.000 0.000 3.622
```


[4]
This record from Alexandria via LeMat-Bulk describes a relaxed LaNbCr crystal. The functional is PBE-GGA. Values from VASP.

Computed properties:
Theoretical density (g cm⁻³): 6.9
Formation enthalpy at 0 K (eV per atom): 0.43
Energy (eV per atom): -7.78
Energy above the most stable polymorph in this dataset (meV/atom): 60

Cell and atoms, written as Quantum ESPRESSO input:
```
&SYSTEM
  ibrav = 0, nat = 12, ntyp = 3
/
ATOMIC_SPECIES
Cr 52.00 Cr.upf
Nb 92.91 Nb.upf
La 138.91 La.upf
CELL_PARAMETERS angstrom
7.104 0.000 -0.002
0.000 3.720 0.000
-0.666 0.000 10.290
ATOMIC_POSITIONS angstrom
Cr -0.265 0.000 5.270
Cr 0.068 1.860 0.125
Cr 5.450 0.000 9.709
Cr 5.783 1.860 4.564
Nb 0.371 0.000 8.379
Nb 0.703 1.860 3.234
Nb 1.356 0.000 1.226
Nb 1.023 1.860 6.371
La 5.247 0.000 2.190
La 4.914 1.860 7.335
La 3.046 0.000 4.725
La 2.713 1.860 9.869
```